No. 1
# PBE FeAg3Sb, optimized geometry
data_FeAg3Sb
_chemical_formula_sum 'Fe1 Ag3 Sb1'
_cell_length_a 4.8675
_cell_length_b 4.8675
_cell_length_c 4.8675
_cell_angle_alpha 90.00
_cell_angle_beta 90.00
_cell_angle_gamma 90.00
_space_group_name_H-M_alt 'P m -3 m'
_space_group_IT_number 221
_space_group_name_Hall '-P 4 2 3'
loop_
_atom_site_label
_atom_site_type_symbol
_atom_site_fract_x
_atom_site_fract_y
_atom_site_fract_z
Fe1 Fe 0.0000 0.0000 0.0000
Ag1 Ag 0.0000 0.0000 0.5000
Sb1 Sb 0.5000 0.5000 0.5000
# energy above the most stable polymorph in this dataset = 0.000 eV per formula unit
# total moment = 3.02 μB per cell

---

No. 2
# PBE Fe2AgSb, optimized geometry
data_Fe2AgSb
_chemical_formula_sum 'Fe4 Ag2 Sb2'
_cell_length_a 4.0136
_cell_length_b 4.0301
_cell_length_c 7.9524
_cell_angle_alpha 90.00
_cell_angle_beta 90.00
_cell_angle_gamma 90.00
_space_group_name_H-M_alt 'I m m m'
_space_group_IT_number 71
_space_group_name_Hall '-I 2 2'
loop_
_atom_site_label
_atom_site_type_symbol
_atom_site_fract_x
_atom_site_fract_y
_atom_site_fract_z
Fe1 Fe 0.0000 0.0000 0.2498
Ag1 Ag 0.0000 0.5000 0.0000
Sb1 Sb 0.0000 0.5000 0.5000
# total moment = 10.71 μB per cell

---

No. 3
# PBE FeAgSb6, optimized geometry
data_FeAgSb6
_chemical_formula_sum 'Fe4 Ag4 Sb24'
_cell_length_a 13.2932
_cell_length_b 9.3279
_cell_length_c 9.4900
_cell_angle_alpha 90.00
_cell_angle_beta 134.00
_cell_angle_gamma 90.00
_space_group_name_H-M_alt 'C 1 2/m 1'
_space_group_IT_number 12
loop_
_space_group_symop_operation_xyz
'x,y,z'
'-x,-y,-z'
'-x,y,-z'
'x,-y,z'
'x+1/2,y+1/2,z'
'-x+1/2,-y+1/2,-z'
'-x+1/2,y+1/2,-z'
'x+1/2,-y+1/2,z'
loop_
_atom_site_label
_atom_site_type_symbol
_atom_site_fract_x
_atom_site_fract_y
_atom_site_fract_z
Fe1 Fe 0.2500 0.2500 0.0000
Ag1 Ag 0.2500 0.2500 0.5000
Sb1 Sb 0.0171 0.1573 0.8606
Sb2 Sb 0.1354 0.5000 0.2861
Sb3 Sb 0.1534 0.3406 0.6723
Sb4 Sb 0.1786 0.5000 0.0217
# total moment = 0.00 μB per cell

---

No. 4
# PBE Fe2AgSb, optimized geometry
data_Fe2AgSb
_chemical_formula_sum 'Fe2 Ag1 Sb1'
_cell_length_a 3.1612
_cell_length_b 4.1515
_cell_length_c 5.2331
_cell_angle_alpha 90.00
_cell_angle_beta 106.82
_cell_angle_gamma 90.00
_space_group_name_H-M_alt 'P 1 m 1'
_space_group_IT_number 6
loop_
_space_group_symop_operation_xyz
'x,y,z'
'x,-y,z'
loop_
_atom_site_label
_atom_site_type_symbol
_atom_site_fract_x
_atom_site_fract_y
_atom_site_fract_z
Fe1 Fe 0.0000 0.0000 0.0000
Fe2 Fe 0.1267 0.5000 0.2631
Ag1 Ag 0.4130 0.5000 0.8188
Sb1 Sb 0.7159 0.0000 0.4467
# total moment = 4.76 μB per cell

---

No. 5
# PBE Fe2AgSb, optimized geometry
data_Fe2AgSb
_chemical_formula_sum 'Fe8 Ag4 Sb4'
_cell_length_a 3.9419
_cell_length_b 3.9419
_cell_length_c 18.6695
_cell_angle_alpha 90.00
_cell_angle_beta 90.00
_cell_angle_gamma 90.00
_space_group_name_H-M_alt 'I -4 2 d'
_space_group_IT_number 122
_space_group_name_Hall 'I -4 2bw'
loop_
_atom_site_label
_atom_site_type_symbol
_atom_site_fract_x
_atom_site_fract_y
_atom_site_fract_z
Fe1 Fe 0.2074 0.2500 0.1250
Ag1 Ag 0.0000 0.0000 0.5000
Sb1 Sb 0.0000 0.0000 0.0000
# total moment = 21.68 μB per cell

---

No. 6
# PBE FeAgSb, optimized geometry
data_FeAgSb
_chemical_formula_sum 'Fe2 Ag2 Sb2'
_cell_length_a 2.9978
_cell_length_b 2.9978
_cell_length_c 12.9135
_cell_angle_alpha 90.00
_cell_angle_beta 90.00
_cell_angle_gamma 90.00
_space_group_name_H-M_alt 'I 4 m m'
_space_group_IT_number 107
_space_group_name_Hall 'I 4 -2'
loop_
_atom_site_label
_atom_site_type_symbol
_atom_site_fract_x
_atom_site_fract_y
_atom_site_fract_z
Fe1 Fe 0.0000 0.0000 0.0000
Ag1 Ag 0.0000 0.0000 0.3605
Sb1 Sb 0.0000 0.0000 0.6443
# total moment = 4.99 μB per cell

---

No. 7
# PBE Fe2AgSb, optimized geometry
data_Fe2AgSb
_chemical_formula_sum 'Fe8 Ag4 Sb4'
_cell_length_a 6.3580
_cell_length_b 6.3580
_cell_length_c 6.3580
_cell_angle_alpha 90.00
_cell_angle_beta 90.00
_cell_angle_gamma 90.00
_space_group_name_H-M_alt 'F -4 3 m'
_space_group_IT_number 216
_space_group_name_Hall 'F -4 2 3'
loop_
_atom_site_label
_atom_site_type_symbol
_atom_site_fract_x
_atom_site_fract_y
_atom_site_fract_z
Fe1 Fe 0.0000 0.0000 0.0000
Fe2 Fe 0.2500 0.2500 0.2500
Ag1 Ag 0.2500 0.2500 0.7500
Sb1 Sb 0.0000 0.0000 0.5000
# total moment = 20.08 μB per cell

---

No. 8
# PBE Fe2AgSb, optimized geometry
data_Fe2AgSb
_chemical_formula_sum 'Fe2 Ag1 Sb1'
_cell_length_a 3.1324
_cell_length_b 3.1324
_cell_length_c 6.9022
_cell_angle_alpha 90.00
_cell_angle_beta 90.00
_cell_angle_gamma 90.00
_space_group_name_H-M_alt 'P 4 m m'
_space_group_IT_number 99
loop_
_space_group_symop_operation_xyz
'x,y,z'
'-y,x,z'
'-x,-y,z'
'y,-x,z'
'-x,y,z'
'y,x,z'
'x,-y,z'
'-y,-x,z'
loop_
_atom_site_label
_atom_site_type_symbol
_atom_site_fract_x
_atom_site_fract_y
_atom_site_fract_z
Fe1 Fe 0.0000 0.0000 0.0000
Fe2 Fe 0.5000 0.5000 0.1675
Ag1 Ag 0.5000 0.5000 0.7555
Sb1 Sb 0.0000 0.0000 0.4104
# total moment = 5.09 μB per cell

---

No. 9
# PBE Fe2AgSb, optimized geometry
data_Fe2AgSb
_chemical_formula_sum 'Fe6 Ag3 Sb3'
_cell_length_a 3.0104
_cell_length_b 3.0104
_cell_length_c 25.2935
_cell_angle_alpha 90.00
_cell_angle_beta 90.00
_cell_angle_gamma 120.00
_space_group_name_H-M_alt 'R -3 m'
_space_group_IT_number 166
_space_group_name_Hall '-R 3 2"'
loop_
_atom_site_label
_atom_site_type_symbol
_atom_site_fract_x
_atom_site_fract_y
_atom_site_fract_z
Fe1 Fe 0.0000 0.0000 0.2480
Ag1 Ag 0.0000 0.0000 0.0000
Sb1 Sb 0.0000 0.0000 0.5000
# total moment = 13.85 μB per cell

---

No. 10
# PBE FeAgSb, optimized geometry
data_FeAgSb
_chemical_formula_sum 'Fe1 Ag1 Sb1'
_cell_length_a 4.4918
_cell_length_b 4.4918
_cell_length_c 3.1581
_cell_angle_alpha 90.00
_cell_angle_beta 90.00
_cell_angle_gamma 120.00
_space_group_name_H-M_alt 'P 3 m 1'
_space_group_IT_number 156
loop_
_space_group_symop_operation_xyz
'x,y,z'
'-y,x-y,z'
'-x+y,-x,z'
'-y,-x,z'
'-x+y,y,z'
'x,x-y,z'
loop_
_atom_site_label
_atom_site_type_symbol
_atom_site_fract_x
_atom_site_fract_y
_atom_site_fract_z
Fe1 Fe 0.0000 0.0000 0.0000
Ag1 Ag 0.3333 0.6667 0.5045
Sb1 Sb 0.6667 0.3333 0.0103
# total moment = 2.12 μB per cell

---

No. 11
# PBE FeAgSb4, optimized geometry
data_FeAgSb4
_chemical_formula_sum 'Fe4 Ag4 Sb16'
_cell_length_a 8.6775
_cell_length_b 8.6775
_cell_length_c 8.6775
_cell_angle_alpha 90.00
_cell_angle_beta 90.00
_cell_angle_gamma 90.00
_space_group_name_H-M_alt 'F -4 3 m'
_space_group_IT_number 216
_space_group_name_Hall 'F -4 2 3'
loop_
_atom_site_label
_atom_site_type_symbol
_atom_site_fract_x
_atom_site_fract_y
_atom_site_fract_z
Fe1 Fe 0.0000 0.0000 0.0000
Ag1 Ag 0.2500 0.2500 0.2500
Sb1 Sb 0.1247 0.1247 0.6247
# total moment = 15.08 μB per cell

---

No. 12
# PBE Fe2SiAgSb, optimized geometry
data_Fe2SiAgSb
_chemical_formula_sum 'Fe2 Si1 Ag1 Sb1'
_cell_length_a 4.3971
_cell_length_b 4.3971
_cell_length_c 4.7298
_cell_angle_alpha 90.00
_cell_angle_beta 90.00
_cell_angle_gamma 90.00
_space_group_name_H-M_alt 'P 4/m m m'
_space_group_IT_number 123
_space_group_name_Hall '-P 4 2'
loop_
_atom_site_label
_atom_site_type_symbol
_atom_site_fract_x
_atom_site_fract_y
_atom_site_fract_z
Fe1 Fe 0.0000 0.5000 0.0000
Si1 Si 0.0000 0.0000 0.0000
Ag1 Ag 0.0000 0.0000 0.5000
Sb1 Sb 0.5000 0.5000 0.5000
# total moment = 3.86 μB per cell

---

No. 13
# PBE TaFeAg2Sb, optimized geometry
data_TaFeAg2Sb
_chemical_formula_sum 'Ta1 Fe1 Ag2 Sb1'
_cell_length_a 4.9941
_cell_length_b 4.9941
_cell_length_c 5.2493
_cell_angle_alpha 90.00
_cell_angle_beta 90.00
_cell_angle_gamma 90.00
_space_group_name_H-M_alt 'P 4/m m m'
_space_group_IT_number 123
_space_group_name_Hall '-P 4 2'
loop_
_atom_site_label
_atom_site_type_symbol
_atom_site_fract_x
_atom_site_fract_y
_atom_site_fract_z
Ta1 Ta 0.0000 0.0000 0.0000
Fe1 Fe 0.5000 0.5000 0.0000
Ag1 Ag 0.0000 0.5000 0.5000
Sb1 Sb 0.0000 0.0000 0.5000
# total moment = 2.77 μB per cell

---

No. 14
# PBE FeAgSbTe2, optimized geometry
data_FeAgSbTe2
_chemical_formula_sum 'Fe1 Ag1 Sb1 Te2'
_cell_length_a 5.4661
_cell_length_b 5.4661
_cell_length_c 5.2353
_cell_angle_alpha 90.00
_cell_angle_beta 90.00
_cell_angle_gamma 90.00
_space_group_name_H-M_alt 'P 4/m m m'
_space_group_IT_number 123
_space_group_name_Hall '-P 4 2'
loop_
_atom_site_label
_atom_site_type_symbol
_atom_site_fract_x
_atom_site_fract_y
_atom_site_fract_z
Fe1 Fe 0.0000 0.0000 0.0000
Ag1 Ag 0.5000 0.5000 0.5000
Sb1 Sb 0.5000 0.5000 0.0000
Te1 Te 0.0000 0.5000 0.5000
# energy above the most stable polymorph in this dataset = 2.946 eV per formula unit
# total moment = 3.52 μB per cell

---

no.,formation energy without anion corrections (eV/atom)
1,0.858
2,0.336
3,0.028
4,0.333
5,0.595
6,0.395
7,0.402
8,0.255
9,0.550
10,0.417
11,0.790
12,0.606
13,1.483
14,1.071